# 1
Here is KUVO5 after structural relaxation from Alexandria. Energies are from PBE with a Hubbard U.

Unit cell a=6.1757 b=6.1757 c=8.0205 alpha=104.27 beta=104.27 gamma=106.53
With the nearest neighbours (Å) after each atom.
Element x y z (fractional)
K: 0.1684 0.8316 0.7500  5 O 2.63-2.84
K: 0.8316 0.1684 0.2500  5 O 2.63-2.84
U: 0.5000 0.5000 0.0000  6 O 2.11-2.20
U: 0.5000 0.5000 0.5000  6 O 2.11-2.20
V: 0.1846 0.8154 0.2500  4 O 1.82-1.84
V: 0.8154 0.1846 0.7500  4 O 1.82-1.84
O: 0.1203 0.2586 0.8985  1 V 1.82
O: 0.2149 0.6217 0.3882  1 V 1.84
O: 0.2586 0.1203 0.3985  1 V 1.82
O: 0.3783 0.7851 0.1118  1 V 1.84
O: 0.4342 0.5658 0.7500  2 U 2.11
O: 0.5658 0.4342 0.2500  2 U 2.11
O: 0.6217 0.2149 0.8882  1 V 1.84
O: 0.7414 0.8797 0.6015  1 V 1.82
O: 0.7851 0.3783 0.6118  1 V 1.84
O: 0.8797 0.7414 0.1015  1 V 1.82

DOS(E_F) = 3.0 states/eV/f.u.
raw total energy = -8.123 eV per atom
size of the total moment = 2.0 μB/f.u.

---

# 2
Here is K2UV3O12 after structural relaxation from Alexandria. Energies are from PBE with a Hubbard U.

Unit cell a=7.4598 b=7.4598 c=7.4598 alpha=56.74 beta=56.74 gamma=56.74
With the nearest neighbours (Å) after each atom.
Element x y z (fractional)
K: 0.1038 0.1038 0.1038  9 O 3.07-3.43
K: 0.8962 0.8962 0.8962  9 O 3.07-3.43
U: 0.5000 0.5000 0.5000  6 O 2.06
V: 0.0000 0.5000 0.5000  6 O 1.86-1.93
V: 0.5000 0.0000 0.5000  6 O 1.86-1.93
V: 0.5000 0.5000 0.0000  6 O 1.86-1.93
O: 0.1651 0.5689 0.5689  1 V 1.93, 1 U 2.06
O: 0.1952 0.1952 0.5682  2 V 1.86
O: 0.1952 0.5682 0.1952  2 V 1.86
O: 0.4311 0.4311 0.8349  1 V 1.93, 1 U 2.06
O: 0.4311 0.8349 0.4311  1 V 1.93, 1 U 2.06
O: 0.4318 0.8048 0.8048  2 V 1.86
O: 0.5682 0.1952 0.1952  2 V 1.86
O: 0.5689 0.1651 0.5689  1 V 1.93, 1 U 2.06
O: 0.5689 0.5689 0.1651  1 V 1.93, 1 U 2.06
O: 0.8048 0.4318 0.8048  2 V 1.86
O: 0.8048 0.8048 0.4318  2 V 1.86
O: 0.8349 0.4311 0.4311  1 V 1.93, 1 U 2.06

DOS(E_F) = 6.7 states/eV/f.u.
raw total energy = -7.323 eV per atom
size of the total moment = 0.0 μB/f.u.